(1)
First-principles (SCAN) data for a crystal of ScIrCl2 relaxed with PBEsol, as listed in Alexandria via LeMat-Bulk.

Cell lengths 4.239, 4.239, 15.790 Å; angles 90.00, 90.00, 90.00 degrees
Space group I-42d (No. 122)
Inequivalent atoms, fractional coordinates:
Sc  0.000  0.000  0.000
Ir  0.000  0.000  0.500
Cl  0.240  0.250  0.625

energy above the most stable polymorph in this dataset	214	meV/atom
magnetic moment	0.00	μB/atom
crystal system	tetragonal
energy relative to the elements, uncorrected	-0.56	eV/atom

(2)
First-principles (SCAN) data for a crystal of GaFe3 relaxed with PBEsol, as listed in Alexandria via LeMat-Bulk.

Cell lengths 5.0874, 5.0874, 4.1024 Å; angles 90.00, 90.00, 120.00 degrees
Space group P6_3/mmc (No. 194)
Inequivalent atoms, fractional coordinates:
Ga  0.3333  0.6667  0.2500
Fe  0.1600  0.3200  0.7500

formation enthalpy at 0 K	-0.15	eV per atom
magnetic moment	1.77	μB/atom
crystal system	hexagonal

(3)
First-principles (SCAN) data for a crystal of Y2CrRh relaxed with PBEsol, as listed in Alexandria via LeMat-Bulk.

Cell lengths 3.6431, 3.6431, 24.4130 Å; angles 90.00, 90.00, 120.00 degrees
Space group R-3m (No. 166, hexagonal axes)
Inequivalent atoms, fractional coordinates:
Y  0.0000  0.0000  0.2373
Cr  0.0000  0.0000  0.0000
Rh  0.0000  0.0000  0.5000

energy above the most stable polymorph in this dataset	285	meV/atom
formation enthalpy at 0 K	-0.10	eV per atom
magnetic moment	1.16	μB/atom
crystal system	trigonal

(4)
First-principles (SCAN) data for a crystal of Si2GeSbTe relaxed with PBEsol, as listed in Alexandria via LeMat-Bulk.

Cell lengths 4.720, 4.720, 5.485 Å; angles 90.00, 90.00, 90.00 degrees
Space group P4/mmm (No. 123)
Inequivalent atoms, fractional coordinates:
Si  0.000  0.500  0.000
Ge  0.000  0.000  0.000
Sb  0.000  0.000  0.500
Te  0.500  0.500  0.500

magnetic moment	0.00	μB/atom
crystal system	tetragonal
energy relative to the elements, uncorrected	0.94	eV/atom

(5)
First-principles (SCAN) data for a crystal of CsBaLa2B relaxed with PBEsol, as listed in Alexandria via LeMat-Bulk.

Cell lengths 5.908, 5.908, 5.098 Å; angles 90.00, 90.00, 90.00 degrees
Space group P4/mmm (No. 123)
Inequivalent atoms, fractional coordinates:
Cs  0.000  0.000  0.000
Ba  0.500  0.500  0.500
La  0.000  0.500  0.000
B  0.000  0.000  0.500

formation enthalpy at 0 K	1.39	eV per atom
magnetic moment	0.00	μB/atom
crystal system	tetragonal

(6)
First-principles (SCAN) data for a crystal of Zr2Ga3Cu relaxed with PBEsol, as listed in Alexandria via LeMat-Bulk.

Cell lengths 9.834, 4.106, 6.525 Å; angles 90.00, 131.42, 90.00 degrees
Space group Cm (No. 8)
Inequivalent atoms, fractional coordinates:
Zr  0.000  0.000  0.000
Zr  0.084  0.000  0.588
Ga  0.204  0.500  0.996
Ga  0.370  0.000  0.584
Ga  0.394  0.000  0.175
Cu  0.210  0.500  0.403

formation enthalpy at 0 K	-0.66	eV per atom
magnetic moment	0.00	μB/atom
crystal system	monoclinic

(7)
First-principles (SCAN) data for a crystal of BeNbSeBr2 relaxed with PBEsol, as listed in Alexandria via LeMat-Bulk.

Cell lengths 5.129, 5.129, 4.970 Å; angles 90.00, 90.00, 90.00 degrees
Space group P4/mmm (No. 123)
Inequivalent atoms, fractional coordinates:
Be  0.000  0.000  0.000
Nb  0.500  0.500  0.500
Se  0.500  0.500  0.000
Br  0.000  0.500  0.500

magnetic moment	0.00	μB/atom
crystal system	tetragonal
energy relative to the elements, uncorrected	0.23	eV/atom

(8)
First-principles (SCAN) data for a crystal of CaAs2Br relaxed with PBEsol, as listed in Alexandria via LeMat-Bulk.

Cell lengths 3.897, 3.897, 6.091 Å; angles 90.00, 90.00, 90.00 degrees
Space group P4/mmm (No. 123)
Inequivalent atoms, fractional coordinates:
Ca  0.000  0.000  0.000
As  0.000  0.500  0.500
Br  0.500  0.500  0.000

energy above the most stable polymorph in this dataset	14	meV/atom
magnetic moment	0.00	μB/atom
crystal system	tetragonal
energy relative to the elements, uncorrected	-0.75	eV/atom